Record 1
Below is LuZrF7 after structural relaxation, with properties calculated at the PBE-GGA level.

Unit cell a=6.0009 b=5.7634 c=8.2147 alpha=90.00 beta=103.50 gamma=90.00
With the nearest neighbours (Å) after each atom.
Sites, in units of the cell vectors:
Lu  0.1475  0.0000  0.1863  8 F 2.13-2.38
Lu  0.8525  0.5000  0.8137  8 F 2.13-2.38
Zr  0.3212  0.0011  0.7264  6 F 2.03-2.05
Zr  0.6788  0.5011  0.2736  6 F 2.03-2.05
F  0.0046  0.7445  0.0022  2 Lu 2.13-2.14
F  0.0834  0.7431  0.7085  1 Zr 2.04, 1 Lu 2.28
F  0.0904  0.2662  0.7097  1 Zr 2.04, 1 Lu 2.27
F  0.2674  0.0001  0.4726  1 Zr 2.03
F  0.3657  0.0005  0.9788  1 Zr 2.03
F  0.4202  0.7393  0.2574  1 Zr 2.05, 1 Lu 2.20
F  0.4212  0.2610  0.2558  1 Zr 2.05, 1 Lu 2.20
F  0.5788  0.7610  0.7442  1 Zr 2.05, 1 Lu 2.20
F  0.5798  0.2393  0.7426  1 Zr 2.05, 1 Lu 2.20
F  0.6343  0.5005  0.0212  1 Zr 2.03
F  0.7326  0.5002  0.5274  1 Zr 2.03
F  0.9096  0.7662  0.2903  1 Zr 2.04, 1 Lu 2.27
F  0.9166  0.2431  0.2915  1 Zr 2.04, 1 Lu 2.28
F  0.9954  0.2445  0.9978  2 Lu 2.13-2.14

Values from the calculation:
space group: No. 4


Record 2
Below is LuZr3F15 after structural relaxation, with properties calculated at the PBE-GGA level.

Unit cell a=8.1419 b=8.1483 c=16.2934 alpha=100.28 beta=100.22 gamma=100.21
With the nearest neighbours (Å) after each atom.
Sites, in units of the cell vectors:
Lu  0.1773  0.3247  0.1257  8 F 2.20-2.30
Lu  0.2516  0.8214  0.5886  8 F 2.19-2.27
Lu  0.7484  0.1786  0.4114  8 F 2.19-2.27
Lu  0.8227  0.6753  0.8743  8 F 2.20-2.30
Zr  0.1744  0.3209  0.6240  8 F 2.07-2.27
Zr  0.2485  0.2513  0.3747  6 F 2.02-2.06
Zr  0.2483  0.8238  0.0870  8 F 2.07-2.28
Zr  0.2505  0.2490  0.8755  6 F 2.02-2.05
Zr  0.3232  0.7480  0.8376  8 F 2.06-2.27
Zr  0.3251  0.7527  0.3382  8 F 2.07-2.27
Zr  0.6749  0.2473  0.6618  8 F 2.07-2.27
Zr  0.6768  0.2520  0.1624  8 F 2.06-2.27
Zr  0.7495  0.7510  0.1245  6 F 2.02-2.05
Zr  0.7517  0.1762  0.9130  8 F 2.07-2.28
Zr  0.7515  0.7487  0.6253  6 F 2.02-2.06
Zr  0.8256  0.6791  0.3760  8 F 2.07-2.27
F  0.0075  0.7792  0.1404  2 Zr 2.04-2.28
F  0.0084  0.7776  0.6394  1 Zr 2.03
F  0.0335  0.7475  0.4790  1 Zr 2.08, 1 Lu 2.19
F  0.0402  0.7526  0.9843  1 Zr 2.07, 1 Lu 2.20
F  0.0529  0.6859  0.3253  2 Zr 2.15
F  0.0612  0.6805  0.8259  1 Zr 2.07, 1 Lu 2.22
F  0.1531  0.0591  0.5916  1 Zr 2.07, 1 Lu 2.22
F  0.1550  0.0459  0.0910  1 Zr 2.08, 1 Lu 2.21
F  0.1825  0.5435  0.5776  1 Zr 2.08, 1 Lu 2.20
F  0.1828  0.5616  0.0767  1 Zr 2.08, 1 Lu 2.21
F  0.2200  0.9911  0.3588  2 Zr 2.06-2.25
F  0.2210  0.2226  0.2467  1 Zr 2.02
F  0.2219  0.9909  0.8624  2 Zr 2.04-2.27
F  0.2235  0.2213  0.7458  2 Zr 2.05-2.27
F  0.2473  0.5307  0.7322  2 Zr 2.14-2.15
F  0.2556  0.5449  0.2352  1 Zr 2.08, 1 Lu 2.20
F  0.2769  0.5106  0.3892  2 Zr 2.05-2.27
F  0.2776  0.2759  0.5043  2 Zr 2.05-2.25
F  0.2791  0.5073  0.8896  2 Zr 2.04-2.27
F  0.2814  0.2802  0.0034  1 Zr 2.02
F  0.3147  0.8508  0.2218  2 Zr 2.13-2.18
F  0.3218  0.8436  0.7288  1 Zr 2.06, 1 Lu 2.22
F  0.3487  0.8152  0.9733  2 Zr 2.14-2.15
F  0.3490  0.8185  0.4692  1 Zr 2.07, 1 Lu 2.23
F  0.4459  0.3476  0.6572  2 Zr 2.14-2.16
F  0.4565  0.3464  0.1605  1 Zr 2.07, 1 Lu 2.21
F  0.4654  0.0337  0.1214  2 Zr 2.14-2.16
F  0.4696  0.0412  0.6306  1 Zr 2.07, 1 Lu 2.20
F  0.4907  0.7235  0.1118  2 Zr 2.05-2.27
F  0.4945  0.7197  0.6095  1 Zr 2.03, 1 Lu 2.27
F  0.5055  0.2803  0.3905  1 Zr 2.03, 1 Lu 2.27
F  0.5093  0.2765  0.8882  2 Zr 2.05-2.27
F  0.5304  0.9588  0.3694  1 Zr 2.07, 1 Lu 2.20
F  0.5346  0.9663  0.8786  2 Zr 2.14-2.16
F  0.5435  0.6536  0.8395  1 Zr 2.07, 1 Lu 2.21
F  0.5541  0.6524  0.3428  2 Zr 2.14-2.16
F  0.6510  0.1815  0.5308  1 Zr 2.07, 1 Lu 2.23
F  0.6513  0.1848  0.0267  2 Zr 2.14-2.15
F  0.6782  0.1564  0.2712  1 Zr 2.06, 1 Lu 2.22
F  0.6853  0.1492  0.7782  2 Zr 2.13-2.18
F  0.7186  0.7198  0.9966  1 Zr 2.02
F  0.7209  0.4927  0.1104  2 Zr 2.04-2.27
F  0.7224  0.7241  0.4957  2 Zr 2.05-2.25
F  0.7231  0.4894  0.6108  2 Zr 2.05-2.27
F  0.7444  0.4551  0.7648  1 Zr 2.08, 1 Lu 2.20
F  0.7527  0.4693  0.2678  2 Zr 2.14-2.15
F  0.7765  0.7787  0.2542  2 Zr 2.05-2.27
F  0.7781  0.0091  0.1376  2 Zr 2.04-2.27
F  0.7790  0.7774  0.7533  1 Zr 2.02
F  0.7800  0.0089  0.6412  2 Zr 2.06-2.25
F  0.8172  0.4384  0.9233  1 Zr 2.08, 1 Lu 2.21
F  0.8175  0.4565  0.4224  1 Zr 2.08, 1 Lu 2.20
F  0.8450  0.9541  0.9090  1 Zr 2.08, 1 Lu 2.21
F  0.8469  0.9409  0.4084  1 Zr 2.07, 1 Lu 2.22
F  0.9388  0.3195  0.1741  1 Zr 2.07, 1 Lu 2.22
F  0.9471  0.3141  0.6747  2 Zr 2.15
F  0.9598  0.2474  0.0157  1 Zr 2.07, 1 Lu 2.20
F  0.9665  0.2525  0.5210  1 Zr 2.08, 1 Lu 2.19
F  0.9916  0.2224  0.3606  1 Zr 2.03
F  0.9925  0.2208  0.8596  2 Zr 2.04-2.28

Values from the calculation:
space group: No. 2


Record 3
Below is MgF4 after structural relaxation, with properties calculated at the PBE-GGA level.

Unit cell a=3.1553 b=3.1553 c=7.8459 alpha=107.35 beta=107.35 gamma=60.99
With the nearest neighbours (Å) after each atom.
Sites, in units of the cell vectors:
Mg  0.0000  0.0000  0.0000  6 F 2.03-2.06
F  0.2343  0.2343  0.4655  2 F 1.68
F  0.2712  0.2712  0.8755  3 Mg 2.03-2.06
F  0.7288  0.7288  0.1245  3 Mg 2.03-2.06
F  0.7657  0.7657  0.5345  2 F 1.68

Values from the calculation:
space group: No. 12
energy above the lowest structure with this stoichiometry: 0 meV/atom


Record 4
Below is MgF4 after structural relaxation, with properties calculated at the PBE-GGA level.

Unit cell a=3.9621 b=3.9621 c=3.9621 alpha=90.00 beta=90.00 gamma=90.00
With the nearest neighbours (Å) after each atom.
Sites, in units of the cell vectors:
Mg  0.0000  0.0000  0.0000  6 F 1.98
F  0.0000  0.0000  0.5000  2 Mg 1.98
F  0.0000  0.5000  0.0000  2 Mg 1.98
F  0.5000  0.0000  0.0000  2 Mg 1.98
F  0.5000  0.5000  0.5000  12 F 2.80

Values from the calculation:
space group: No. 221
energy above the lowest structure with this stoichiometry: 159 meV/atom


Record 5
Below is Mg4F after structural relaxation, with properties calculated at the PBE-GGA level.

Unit cell a=4.6251 b=4.6251 c=4.6251 alpha=90.00 beta=90.00 gamma=90.00
With the nearest neighbours (Å) after each atom.
Sites, in units of the cell vectors:
Mg  0.0000  0.0000  0.0000  12 Mg 3.27
Mg  0.0000  0.5000  0.5000  2 F 2.31
Mg  0.5000  0.0000  0.5000  2 F 2.31
Mg  0.5000  0.5000  0.0000  2 F 2.31
F  0.5000  0.5000  0.5000  6 Mg 2.31

Values from the calculation:
space group: No. 221


| no. | raw formation energy (kcal/mol of atoms) |
| --- | --- |
| 1 | -90.2 |
| 2 | -87.3 |
| 3 | -45.3 |
| 4 | -41.6 |
| 5 | -16.6 |